## Ho5Zn2Te2 (PBE-GGA)

Data for a geometry-optimized Ho5Zn2Te2 structure.

a = 7.883 Å, b = 7.822 Å, c = 8.649 Å
α = 90.00°, β = 62.89°, γ = 90.00°
Fractional coordinates of all 18 atoms:
1 Ho 0.207 0.164 0.253
2 Ho 0.460 0.164 0.747
3 Ho 0.540 0.836 0.253
4 Ho 0.960 0.336 0.747
5 Ho 0.793 0.836 0.747
6 Ho 0.500 0.500 0.000
7 Ho 0.707 0.336 0.253
8 Ho 0.293 0.664 0.747
9 Ho 0.000 0.000 0.000
10 Ho 0.040 0.664 0.253
11 Zn 0.373 0.876 0.000
12 Zn 0.127 0.376 0.000
13 Zn 0.627 0.124 0.000
14 Zn 0.873 0.624 0.000
15 Te 0.705 0.500 0.590
16 Te 0.205 0.000 0.590
17 Te 0.795 0.000 0.410
18 Te 0.295 0.500 0.410

ΔE_f (raw) ... -0.725 eV per atom
Space-group type ... No. 64

## Sr2BePt (PBE-GGA)

Data for a geometry-optimized Sr2BePt structure.

a = 4.330 Å, b = 4.330 Å, c = 8.044 Å
α = 74.47°, β = 74.47°, γ = 59.96°
Fractional coordinates of all 4 atoms:
1 Be 0.750 0.750 0.750
2 Sr 0.508 0.508 0.476
3 Sr 0.992 0.992 0.024
4 Pt 0.250 0.250 0.250

Space-group type ... No. 12

## Y2Zn12CoCu3 (PBE-GGA)

Data for a geometry-optimized Y2Zn12CoCu3 structure.

a = 11.863 Å, b = 11.863 Å, c = 11.863 Å
α = 27.27°, β = 27.27°, γ = 27.27°
Fractional coordinates of all 18 atoms:
1 Zn 0.111 0.615 0.111
2 Zn 0.615 0.111 0.111
3 Zn 0.889 0.889 0.385
4 Zn 0.385 0.889 0.889
5 Zn 0.602 0.134 0.602
6 Zn 0.866 0.398 0.398
7 Zn 0.602 0.602 0.134
8 Zn 0.889 0.385 0.889
9 Zn 0.398 0.398 0.866
10 Zn 0.111 0.111 0.615
11 Zn 0.398 0.866 0.398
12 Zn 0.134 0.602 0.602
13 Cu 0.000 0.000 0.500
14 Cu 0.000 0.500 0.000
15 Cu 0.500 0.000 0.000
16 Y 0.642 0.642 0.642
17 Y 0.358 0.358 0.358
18 Co 0.000 0.000 0.000

Space-group type ... No. 166

## Ag3Ir (PBE-GGA)

Data for a geometry-optimized Ag3Ir structure.

a = 5.102 Å, b = 5.102 Å, c = 2.755 Å
α = 90.00°, β = 90.00°, γ = 110.57°
Site moments in Bohr magnetons follow the coordinates.
Fractional coordinates of all 4 atoms:
1 Ag 0.500 0.000 0.500  0.00
2 Ag 0.000 0.000 0.000  0.00
3 Ag 0.000 0.500 0.500  0.00
4 Ir 0.500 0.500 0.000  0.34

Space-group type ... No. 65

## GdAlAgPt (PBE-GGA)

Data for a geometry-optimized GdAlAgPt structure.

a = 4.790 Å, b = 4.790 Å, c = 4.790 Å
α = 60.00°, β = 60.00°, γ = 60.00°
Site moments in Bohr magnetons follow the coordinates.
Fractional coordinates of all 4 atoms:
1 Pt 0.250 0.250 0.250  0.00
2 Gd 0.000 0.000 0.000  7.01
3 Al 0.500 0.500 0.500  0.00
4 Ag 0.750 0.750 0.750  0.01

Space-group type ... No. 216

## Sn3HgBr8 (PBE-GGA)

Data for a geometry-optimized Sn3HgBr8 structure.

a = 8.739 Å, b = 8.739 Å, c = 13.322 Å
α = 90.00°, β = 90.00°, γ = 120.00°
Fractional coordinates of all 24 atoms:
1 Br 0.030 0.515 0.346
2 Br 0.485 0.970 0.346
3 Br 0.000 0.000 0.336
4 Br 0.970 0.485 0.846
5 Br 0.333 0.667 0.086
6 Br 0.827 0.173 0.092
7 Br 0.827 0.653 0.092
8 Br 0.485 0.515 0.346
9 Br 0.653 0.827 0.592
10 Br 0.173 0.347 0.592
11 Br 0.347 0.173 0.092
12 Br 0.515 0.030 0.846
13 Br 0.667 0.333 0.586
14 Br 0.000 0.000 0.836
15 Br 0.173 0.827 0.592
16 Br 0.515 0.485 0.846
17 Sn 0.338 0.169 0.713
18 Sn 0.169 0.831 0.213
19 Sn 0.831 0.662 0.713
20 Sn 0.169 0.338 0.213
21 Sn 0.662 0.831 0.213
22 Sn 0.831 0.169 0.713
23 Hg 0.667 0.333 0.984
24 Hg 0.333 0.667 0.484

ΔE_f (raw) ... -0.659 eV per atom
Space-group type ... No. 186

no.,DFT total energy (eV/atom)
1,-4.25
2,-3.22
3,-2.66
4,-4.05
5,-7.31
6,-2.80